1.
A relaxed structure of AcLaSm14, computed with GGA-PBE.

Cell and atoms, written as extended XYZ:
```
16
Lattice="11.825 0.000 0.000 0.000 3.706 6.392 0.000 -3.706 6.392" Properties=species:S:1:pos:R:3 pbc="T T T"
Ac 0.000 0.000 0.000
La 0.000 0.000 6.400
Sm 0.000 -1.846 3.218
Sm 0.000 1.846 3.218
Sm 2.977 0.000 8.550
Sm 2.997 0.000 2.166
Sm 3.018 -1.841 5.347
Sm 3.018 1.841 5.347
Sm 5.912 0.000 0.016
Sm 5.912 -1.853 3.208
Sm 5.912 1.853 3.208
Sm 5.912 0.000 6.411
Sm 8.807 -1.841 5.347
Sm 8.807 1.841 5.347
Sm 8.827 0.000 2.166
Sm 8.848 0.000 8.550
```

Output
Density of states at the Fermi level = 29.98 states/eV/f.u.
ΔH_f (0 K) = 38 meV/atom
E = -4.656 eV/atom

2.
A relaxed structure of TePS2N, computed with GGA-PBE.

Cell and atoms, written as extended XYZ:
```
5
Lattice="4.857 0.000 0.000 0.000 4.857 0.000 0.000 0.000 3.353" Properties=species:S:1:pos:R:3 pbc="T T T"
Te 0.000 0.000 0.000
P 2.428 2.428 1.677
S 0.000 2.428 1.677
S 2.428 0.000 1.677
N 2.428 2.428 0.000
```

Output
Energy above the lowest structure with this stoichiometry = 0.0 kJ/mol of atoms
Density of states at the Fermi level = 3.07 states/eV/f.u.
E = -4.436 eV/atom
Formation energy from raw total energies = 590 meV/atom

3.
A relaxed structure of CdSiNi, computed with GGA-PBE.

Cell and atoms, written as extended XYZ:
```
12
Lattice="5.848 0.000 0.000 0.000 5.848 0.000 0.000 0.000 5.848" Properties=species:S:1:pos:R:3 pbc="T T T"
Cd 0.000 0.000 0.000
Cd 0.000 2.924 2.924
Cd 2.924 0.000 2.924
Cd 2.924 2.924 0.000
Si 0.000 0.000 2.924
Si 0.000 2.924 0.000
Si 2.924 0.000 0.000
Si 2.924 2.924 2.924
Ni 1.462 1.462 1.462
Ni 1.462 4.386 4.386
Ni 4.386 1.462 4.386
Ni 4.386 4.386 1.462
```

Output
Density of states at the Fermi level = 2.61 states/eV/f.u.
E = -3.990 eV/atom
Formation energy from raw total energies = 50 meV/atom

4.
A relaxed structure of La6PmSmDy2, computed with GGA-PBE.

Cell and atoms, written as extended XYZ:
```
10
Lattice="5.687 -3.609 0.000 5.687 3.609 0.000 -2.075 0.000 8.753" Properties=species:S:1:pos:R:3 pbc="T T T"
La 3.232 1.605 1.736
La 0.662 0.000 3.807
La 6.068 1.605 7.017
La 3.232 -1.605 1.736
La 8.638 0.000 4.945
La 6.068 -1.605 7.017
Pm 0.000 0.000 0.000
Sm 4.650 0.000 4.376
Dy 2.916 0.000 7.340
Dy 6.384 0.000 1.412
```

Output
Density of states at the Fermi level = 19.45 states/eV/f.u.
ΔH_f (0 K) = 188 meV/atom
E = -4.636 eV/atom

5.
A relaxed structure of ErSc2Ti, computed with GGA-PBE.

Cell and atoms, written as extended XYZ:
```
4
Lattice="4.541 0.000 0.000 0.000 4.541 0.000 0.000 0.000 4.606" Properties=species:S:1:pos:R:3 pbc="T T T"
Er 0.000 0.000 0.000
Sc 0.000 2.270 2.303
Sc 2.270 0.000 2.303
Ti 2.270 2.270 0.000
```

Output
Energy above the lowest structure with this stoichiometry = 2.2 kJ/mol of atoms
Density of states at the Fermi level = 6.39 states/eV/f.u.
ΔH_f (0 K) = 154 meV/atom
E = -6.127 eV/atom

6.
A relaxed structure of Mg2PbBr, computed with GGA-PBE.

Cell and atoms, written as extended XYZ:
```
4
Lattice="3.344 0.000 0.000 0.000 3.344 0.000 0.000 0.000 10.072" Properties=species:S:1:pos:R:3 pbc="T T T"
Mg 0.000 0.000 0.000
Mg 1.672 1.672 2.295
Pb 0.000 0.000 4.732
Br 1.672 1.672 8.508
```

Output
Energy above the lowest structure with this stoichiometry = 10.8 kJ/mol of atoms
Density of states at the Fermi level = 1.67 states/eV/f.u.
E = -2.454 eV/atom
Formation energy from raw total energies = -311 meV/atom